Entry 1:
Material: Ac6Tb3Y
Method: DFT, PBE
State: optimized geometry

extended XYZ file:
```
20
Lattice="12.698 0.000 0.000 0.000 3.804 0.000 -4.090 0.000 16.499" Properties=species:S:1:pos:R:3 pbc="T T T"
Ac -0.082 0.951 5.851
Ac -2.511 2.853 15.814
Ac -1.086 0.951 12.608
Ac 3.939 0.951 1.823
Ac 3.344 2.853 5.219
Ac 2.542 0.951 8.616
Ac 6.066 2.853 7.884
Ac 5.265 0.951 11.281
Ac 4.669 2.853 14.676
Ac 9.695 2.853 3.891
Ac 11.120 0.951 0.685
Ac 8.690 2.853 10.649
Tb 0.735 2.853 2.805
Tb 1.097 2.853 15.286
Tb 2.032 2.853 11.744
Tb 6.576 0.951 4.755
Tb 7.511 0.951 1.213
Tb 7.873 0.951 13.695
Y -0.704 2.853 9.162
Y 9.312 0.951 7.337
```

Computed properties:
As for the symmetry: P2_1/m, No. 11. The calculation puts the energy of formation at 0.089 eV/atom.


Entry 2:
Material: ZnGa3Pt2
Method: DFT, PBE
State: optimized geometry

extended XYZ file:
```
12
Lattice="3.969 0.000 0.000 0.000 8.283 0.000 0.000 0.000 5.837" Properties=species:S:1:pos:R:3 pbc="T T T"
Zn 0.000 0.683 0.000
Zn 0.000 7.600 2.919
Ga 0.000 2.343 3.481
Ga 0.000 5.940 0.562
Ga 1.984 1.708 1.571
Ga 1.984 3.363 5.145
Ga 1.984 4.920 2.226
Ga 1.984 6.575 4.490
Pt 0.000 3.396 1.155
Pt 0.000 4.887 4.073
Pt 1.984 0.823 4.018
Pt 1.984 7.460 1.100
```

Computed properties:
As for the symmetry: Pmc2_1, No. 26. The calculation puts the energy of formation at -0.528 eV/atom.


Entry 3:
Material: Nd5HoSe6
Method: DFT, PBE
State: optimized geometry

extended XYZ file:
```
12
Lattice="3.640 -6.313 0.000 3.640 6.313 0.000 -2.433 0.000 6.847" Properties=species:S:1:pos:R:3 pbc="T T T"
Nd 0.000 0.000 0.000
Nd 2.424 4.196 3.424
Nd 3.640 2.183 0.000
Nd 3.640 -2.183 0.000
Nd 2.424 -4.196 3.424
Ho 2.424 0.000 3.424
Se 1.249 2.037 1.760
Se 0.069 0.000 5.119
Se 1.249 -2.037 1.760
Se 3.598 2.037 5.087
Se 4.778 0.000 1.728
Se 3.598 -2.037 5.087
```

Computed properties:
The value obtained for the uncorrected formation energy is -1821 meV/atom. As for the symmetry: C2/m, No. 12.


Entry 4:
Material: Ba3NaCd8
Method: DFT, PBE
State: optimized geometry

extended XYZ file:
```
12
Lattice="3.150 1.819 10.485 -3.150 1.819 10.485 0.000 -3.637 10.485" Properties=species:S:1:pos:R:3 pbc="T T T"
Ba 0.000 0.000 0.000
Ba 0.000 0.000 3.972
Ba 0.000 0.000 19.471
Na 0.000 0.000 15.632
Cd 0.000 -1.822 7.125
Cd -1.578 0.911 7.125
Cd -1.564 -0.903 12.441
Cd 0.000 0.000 9.725
Cd 1.578 0.911 7.125
Cd 1.564 -0.903 12.441
Cd 0.000 1.807 12.441
Cd 0.000 0.000 25.560
```

Computed properties:
As for the symmetry: R3m, No. 160. The calculation puts the energy of formation at -0.253 eV/atom.


Entry 5:
Material: KSr2Pb2
Method: DFT, PBE
State: optimized geometry

extended XYZ file:
```
10
Lattice="5.746 0.000 0.000 0.000 5.746 0.000 0.000 0.000 13.753" Properties=species:S:1:pos:R:3 pbc="T T T"
K 0.000 0.000 0.000
K 2.873 2.873 6.876
Sr 0.000 2.873 3.438
Sr 0.000 2.873 10.315
Sr 2.873 0.000 3.438
Sr 2.873 0.000 10.315
Pb 0.000 0.000 5.383
Pb 0.000 0.000 8.370
Pb 2.873 2.873 1.493
Pb 2.873 2.873 12.260
```

Computed properties:
As for the symmetry: I4/mmm, No. 139. The calculation puts the energy of formation at -0.222 eV/atom.


Entry 6:
Material: Nb2PdRh
Method: DFT, PBE
State: optimized geometry

extended XYZ file:
```
4
Lattice="2.845 0.000 0.000 0.000 2.845 0.000 0.000 0.000 8.033" Properties=species:S:1:pos:R:3 pbc="T T T"
Nb 0.000 0.000 1.944
Nb 0.000 0.000 6.089
Pd 1.422 1.422 4.017
Rh 1.422 1.422 0.000
```

Computed properties:
As for the symmetry: P4/mmm, No. 123. The calculation puts the energy of formation at -0.368 eV/atom.


Entry 7:
Material: KGaI2Br
Method: DFT, PBE
State: optimized geometry

extended XYZ file:
```
5
Lattice="5.865 0.000 0.000 0.000 5.865 0.000 0.000 0.000 5.424" Properties=species:S:1:pos:R:3 pbc="T T T"
K 0.000 0.000 0.000
Ga 2.933 2.933 2.712
I 0.000 2.933 2.712
I 2.933 0.000 2.712
Br 2.933 2.933 0.000
```

Computed properties:
The value obtained for the uncorrected formation energy is -862 meV/atom. As for the symmetry: P4/mmm, No. 123.


Entry 8:
Material: La2NbAs4Rh3
Method: DFT, PBE
State: optimized geometry

extended XYZ file:
```
10
Lattice="4.361 0.000 0.000 0.000 4.361 0.000 0.000 0.000 10.303" Properties=species:S:1:pos:R:3 pbc="T T T"
La 0.000 2.180 2.395
La 2.180 0.000 7.907
Nb 0.000 0.000 5.151
As 0.000 0.000 0.000
As 0.000 2.180 6.587
As 2.180 0.000 3.716
As 2.180 2.180 0.000
Rh 0.000 2.180 9.102
Rh 2.180 0.000 1.201
Rh 2.180 2.180 5.151
```

Computed properties:
As for the symmetry: P-4m2, No. 115. The calculation puts the energy of formation at -0.923 eV/atom.


Entry 9:
Material: Nb2VH
Method: DFT, PBE
State: optimized geometry

extended XYZ file:
```
12
Lattice="3.069 0.000 0.000 -1.535 2.658 0.000 0.000 0.000 22.552" Properties=species:S:1:pos:R:3 pbc="T T T"
Nb 0.000 0.000 1.814
Nb 0.000 0.000 20.738
Nb 0.000 1.772 13.221
Nb 0.000 1.772 16.848
Nb 1.535 0.886 5.703
Nb 1.535 0.886 9.331
V 0.000 0.000 11.276
V 0.000 1.772 3.759
V 1.535 0.886 18.793
H 0.000 0.000 0.000
H 0.000 1.772 15.035
H 1.535 0.886 7.517
```

Computed properties:
As for the symmetry: R-3m, No. 166.


Entry 10:
Material: Zr3C
Method: DFT, PBE
State: optimized geometry

extended XYZ file:
```
8
Lattice="3.255 0.000 0.000 0.000 5.335 0.000 0.000 0.000 8.393" Properties=species:S:1:pos:R:3 pbc="T T T"
Zr 0.814 0.036 1.492
Zr 0.814 1.334 4.538
Zr 0.814 2.632 1.492
Zr 2.441 2.703 6.901
Zr 2.441 4.002 3.855
Zr 2.441 5.300 6.901
C 0.814 4.002 5.556
C 2.441 1.334 2.837
```

Computed properties:
As for the symmetry: Pmmn, No. 59. The calculation puts the energy of formation at -0.112 eV/atom.


Entry 11:
Material: ZrVTc
Method: DFT, PBE
State: optimized geometry

extended XYZ file:
```
6
Lattice="3.153 0.000 0.000 0.000 3.153 0.000 0.000 0.000 9.991" Properties=species:S:1:pos:R:3 pbc="T T T"
Zr 0.000 0.000 0.000
Zr 1.576 1.576 4.995
V 0.000 0.000 6.855
V 1.576 1.576 1.860
Tc 0.000 0.000 3.202
Tc 1.576 1.576 8.197
```

Computed properties:
As for the symmetry: I4mm, No. 107. The calculation puts the energy of formation at -0.216 eV/atom.


no.,calculated density (g cm⁻³),raw total energy (eV/atom)
1,8.03,-4.411
2,11.51,-4.267
3,7.17,-5.931
4,6.15,-1.454
5,4.60,-2.597
6,10.09,-8.539
7,3.94,-2.641
8,8.30,-6.981
9,6.44,-7.602
10,6.51,-8.830
11,8.03,-9.560